# 1
First-principles (GGA-PBE) data for TmICl after structural relaxation, as listed in Alexandria via LeMat-Bulk.

Properties
DOS at the Fermi energy = 1.6 states/eV/cell
ΔE_f (raw) = -1.457 eV/atom
total DFT energy (no corrections) = -4.08 eV per atom
symmetry = P3m1
polymorph energy (0 for the lowest one) = 66.2 meV/atom

Lattice parameters (Å, degrees): 3.894 3.894 7.582 90.00 90.00 120.00
Element x y z (fractional)
Tm  0.667  0.333  0.352
Cl  0.333  0.667  0.559
I  0.000  0.000  0.090

# 2
First-principles (GGA-PBE) data for UI2Cl4 after structural relaxation, as listed in Alexandria via LeMat-Bulk.

Properties
DOS at the Fermi energy = 8.0 states/eV/cell
ΔE_f (raw) = -1.031 eV/atom
total DFT energy (no corrections) = -4.14 eV per atom
symmetry = I4/mmm

Lattice parameters (Å, degrees): 5.247 5.247 13.688 78.95 78.95 90.00
Site moments in Bohr magnetons follow the coordinates.
Element x y z (fractional)
I  0.251  0.251  0.499  0.00
I  0.749  0.749  0.501  0.00
Cl  0.094  0.094  0.811  -0.06
Cl  0.000  0.500  0.000  -0.03
Cl  0.500  0.000  0.000  -0.03
Cl  0.906  0.906  0.189  -0.06
U  0.000  0.000  0.000  1.99

# 3
First-principles (GGA-PBE) data for U2ICl5 after structural relaxation, as listed in Alexandria via LeMat-Bulk.

Properties
DOS at the Fermi energy = 2.8 states/eV/cell
ΔE_f (raw) = -1.432 eV/atom
total DFT energy (no corrections) = -5.60 eV per atom
symmetry = Immm

Lattice parameters (Å, degrees): 4.620 7.400 7.400 70.90 71.81 71.81
Site moments in Bohr magnetons follow the coordinates.
Element x y z (fractional)
Cl  0.332  0.853  0.483  -0.03
Cl  0.000  0.500  0.500  -0.02
Cl  0.332  0.483  0.853  -0.03
Cl  0.668  0.147  0.517  -0.03
Cl  0.668  0.517  0.147  -0.03
U  0.244  0.256  0.256  2.90
U  0.756  0.744  0.744  2.90
I  0.000  0.000  0.000  -0.02

- Look up the total DFT energy (no corrections) of the third one.
  -5.60 eV per atom

- What is the DOS at the Fermi energy in the third record?
  2.8 states/eV/cell

- Which value of DOS at the Fermi energy does entry 3 give?
  2.8 states/eV/cell

- Look up the DOS at the Fermi energy of the second one.
  8.0 states/eV/cell